This record from Alexandria via LeMat-Bulk describes a geometry-optimized CaGdEr2 structure. The functional is PBE.

a = 3.527 Å, b = 3.527 Å, c = 12.639 Å
α = 81.98°, β = 81.98°, γ = 60.00°
Fractional coordinates of all 4 atoms:
Er (0.909, 0.909, 0.272)
Er (0.091, 0.091, 0.728)
Ca (0.000, 0.000, 0.000)
Gd (0.500, 0.500, 0.500)

Output
- DOS(E_F) (states/eV per cell) = 6.1
- magnetization (μB/cell) = 6.99
- ΔE to the lowest computed polymorph (meV/atom) = 91.1
- energy relative to the elements (meV/atom) = 177